Record 1
A relaxed structure of YTl2Ir. Source: OQMD via LeMat-Bulk, functional PBE.

Lattice parameters (Å, degrees): 5.035 5.035 5.035 60.00 60.00 60.00
Fractional positions:
Ir (0.250, 0.250, 0.250)
Y (0.000, 0.000, 0.000)
Tl (0.500, 0.500, 0.500)
Tl (0.750, 0.750, 0.750)

Computed properties:
Space-group type: No. 216

---

Record 2
A relaxed structure of Zr2TlIr. Source: OQMD via LeMat-Bulk, functional PBE.

Lattice parameters (Å, degrees): 4.824 4.824 4.824 60.00 60.00 60.00
Fractional positions:
Ir (0.250, 0.250, 0.250)
Zr (0.750, 0.750, 0.750)
Tl (0.500, 0.500, 0.500)
Zr (0.000, 0.000, 0.000)

Computed properties:
Space-group type: No. 216

---

Record 3
A relaxed structure of Tm3Ir. Source: OQMD via LeMat-Bulk, functional PBE.

Lattice parameters (Å, degrees): 7.152 9.009 6.315 90.00 90.00 90.00
Fractional positions:
Tm (0.678, 0.939, 0.325)
Tm (0.533, 0.750, 0.876)
Ir (0.114, 0.250, 0.961)
Tm (0.178, 0.561, 0.175)
Tm (0.678, 0.561, 0.325)
Ir (0.386, 0.750, 0.461)
Tm (0.822, 0.439, 0.825)
Tm (0.322, 0.061, 0.675)
Tm (0.178, 0.939, 0.175)
Ir (0.614, 0.250, 0.539)
Ir (0.886, 0.750, 0.039)
Tm (0.467, 0.250, 0.124)
Tm (0.322, 0.439, 0.675)
Tm (0.822, 0.061, 0.825)
Tm (0.033, 0.750, 0.624)
Tm (0.967, 0.250, 0.376)

Computed properties:
Space-group type: No. 62
Formation energy: -0.6290 eV/atom

---

Record 4
A relaxed structure of TmIr. Source: OQMD via LeMat-Bulk, functional PBE.

Lattice parameters (Å, degrees): 3.662 3.661 3.623 90.00 90.00 120.00
Fractional positions:
Tm (0.333, 0.667, 0.250)
Ir (0.667, 0.333, 0.750)

Computed properties:
Space-group type: No. 187
Formation energy: -0.4290 eV/atom

---

Record 5
A relaxed structure of Tm2Ir. Source: OQMD via LeMat-Bulk, functional PBE.

Lattice parameters (Å, degrees): 8.376 8.376 8.376 60.00 60.00 60.00
Fractional positions:
Tm (0.375, 0.875, 0.375)
Tm (0.875, 0.375, 0.375)
Ir (0.250, 0.250, 0.250)
Tm (0.375, 0.375, 0.375)
Ir (0.500, 0.500, 0.500)
Tm (0.375, 0.375, 0.875)

Computed properties:
Space-group type: No. 227
Formation energy: 0.6695 eV/atom

---

Record 6
A relaxed structure of TmIr. Source: OQMD via LeMat-Bulk, functional PBE.

Lattice parameters (Å, degrees): 4.345 4.345 4.345 60.00 60.00 60.00
Fractional positions:
Ir (0.000, 0.000, 0.000)
Tm (0.250, 0.250, 0.250)

Computed properties:
Space-group type: No. 216
Formation energy: 0.2316 eV/atom

---

Record 7
A relaxed structure of TmIr. Source: OQMD via LeMat-Bulk, functional PBE.

Lattice parameters (Å, degrees): 3.372 3.372 3.372 90.00 90.00 90.00
Fractional positions:
Ir (0.000, 0.000, 0.000)
Tm (0.500, 0.500, 0.500)

Computed properties:
Space-group type: No. 221
Formation energy: -0.9213 eV/atom

---

Record 8
A relaxed structure of Tm2Ir. Source: OQMD via LeMat-Bulk, functional PBE.

Lattice parameters (Å, degrees): 5.685 5.685 5.685 60.00 60.00 60.00
Fractional positions:
Tm (0.625, 0.625, 0.625)
Tm (0.625, 0.625, 0.125)
Tm (0.125, 0.625, 0.625)
Ir (0.250, 0.250, 0.250)
Tm (0.625, 0.125, 0.625)
Ir (0.000, 0.000, 0.000)

Computed properties:
Space-group type: No. 227
Formation energy: 0.5939 eV/atom

---

Record 9
A relaxed structure of Tm2Ir. Source: OQMD via LeMat-Bulk, functional PBE.

Lattice parameters (Å, degrees): 4.728 4.728 4.728 60.00 60.00 60.00
Fractional positions:
Ir (0.000, 0.000, 0.000)
Tm (0.250, 0.250, 0.250)
Tm (0.750, 0.750, 0.750)

Computed properties:
Space-group type: No. 225
Formation energy: -0.7666 eV/atom

---

Record 10
A relaxed structure of Tm2Ir. Source: OQMD via LeMat-Bulk, functional PBE.

Lattice parameters (Å, degrees): 7.532 7.532 4.187 90.00 90.00 120.00
Fractional positions:
Ir (0.667, 0.333, 0.000)
Tm (0.412, 0.000, 0.500)
Ir (0.333, 0.667, 0.000)
Tm (0.000, 0.743, 0.000)
Tm (0.257, 0.257, 0.000)
Tm (0.000, 0.412, 0.500)
Tm (0.743, 0.000, 0.000)
Ir (0.000, 0.000, 0.500)
Tm (0.588, 0.588, 0.500)

Computed properties:
Space-group type: No. 189
Formation energy: -0.7298 eV/atom

---

Record 11
A relaxed structure of Tm8Ir. Source: OQMD via LeMat-Bulk, functional PBE.

Lattice parameters (Å, degrees): 8.900 8.900 3.651 90.00 90.00 120.00
Fractional positions:
Tm (0.000, 0.242, 0.500)
Tm (0.618, 0.000, 0.000)
Tm (0.000, 0.618, 0.000)
Tm (0.758, 0.758, 0.500)
Ir (0.000, 0.000, 0.000)
Tm (0.382, 0.382, 0.000)
Tm (0.333, 0.667, 0.500)
Tm (0.242, 0.000, 0.500)
Tm (0.667, 0.333, 0.500)

Computed properties:
Space-group type: No. 189
Formation energy: -0.2367 eV/atom

---

Record 12
A relaxed structure of YTmIr. Source: OQMD via LeMat-Bulk, functional PBE.

Lattice parameters (Å, degrees): 7.210 4.572 8.683 90.00 90.00 90.00
Fractional positions:
Tm (0.358, 0.250, 0.578)
Ir (0.249, 0.750, 0.405)
Ir (0.251, 0.250, 0.905)
Y (0.010, 0.750, 0.665)
Y (0.490, 0.250, 0.165)
Tm (0.142, 0.750, 0.078)
Tm (0.642, 0.750, 0.422)
Tm (0.858, 0.250, 0.922)
Y (0.510, 0.750, 0.835)
Y (0.990, 0.250, 0.335)
Ir (0.749, 0.750, 0.095)
Ir (0.751, 0.250, 0.595)

Computed properties:
Space-group type: No. 62
Energy above the most stable polymorph in this dataset: 0.000 eV per atom
Formation energy: -0.7578 eV/atom

---

Record 13
A relaxed structure of Y2Tm2Ir5. Source: OQMD via LeMat-Bulk, functional PBE.

Lattice parameters (Å, degrees): 14.755 14.755 14.755 16.09 16.09 16.09
Last column: magnetic moment on the atom in μB.
Fractional positions:
Ir (0.237, 0.237, 0.237)  0.20
Tm (0.468, 0.468, 0.468)  0.01
Ir (0.585, 0.585, 0.585)  0.24
Y (0.074, 0.074, 0.074)  0.02
Ir (0.013, 0.013, 0.013)  0.00
Ir (0.163, 0.163, 0.163)  0.00
Y (0.865, 0.865, 0.865)  0.02
Tm (0.299, 0.299, 0.299)  -0.01
Ir (0.363, 0.363, 0.363)  0.01

Computed properties:
Space-group type: No. 160
Formation energy: -0.2432 eV/atom

---

Record 14
A relaxed structure of YTmIr. Source: OQMD via LeMat-Bulk, functional PBE.

Lattice parameters (Å, degrees): 7.181 4.578 8.780 90.00 90.00 90.00
Fractional positions:
Tm (0.492, 0.250, 0.160)
Y (0.858, 0.250, 0.917)
Y (0.642, 0.750, 0.417)
Tm (0.508, 0.750, 0.840)
Y (0.142, 0.750, 0.083)
Y (0.358, 0.250, 0.583)
Ir (0.237, 0.750, 0.406)
Ir (0.737, 0.750, 0.094)
Ir (0.763, 0.250, 0.594)
Tm (0.992, 0.250, 0.340)
Ir (0.263, 0.250, 0.906)
Tm (0.008, 0.750, 0.660)

Computed properties:
Space-group type: No. 62
Energy above the most stable polymorph in this dataset: 0.036 eV per atom
Formation energy: -0.7214 eV/atom

---

Record 15
A relaxed structure of YTmIr. Source: OQMD via LeMat-Bulk, functional PBE.

Lattice parameters (Å, degrees): 4.681 4.681 4.681 60.00 60.00 60.00
Fractional positions:
Y (0.750, 0.750, 0.750)
Ir (0.250, 0.250, 0.250)
Tm (0.000, 0.000, 0.000)

Computed properties:
Space-group type: No. 216
Energy above the most stable polymorph in this dataset: 0.919 eV per atom
Formation energy: 0.1616 eV/atom

---

Record 16
A relaxed structure of TmZn4Ir. Source: OQMD via LeMat-Bulk, functional PBE.

Lattice parameters (Å, degrees): 5.066 5.066 5.066 60.00 60.00 60.00
Fractional positions:
Tm (0.250, 0.250, 0.250)
Zn (0.626, 0.122, 0.626)
Zn (0.122, 0.626, 0.626)
Zn (0.626, 0.626, 0.122)
Ir (0.000, 0.000, 0.000)
Zn (0.626, 0.626, 0.626)

Computed properties:
Space-group type: No. 216
Formation energy: -0.4441 eV/atom

---

Record 17
A relaxed structure of TmZnIr. Source: OQMD via LeMat-Bulk, functional PBE.

Lattice parameters (Å, degrees): 4.486 4.486 4.486 60.00 60.00 60.00
Fractional positions:
Ir (0.000, 0.000, 0.000)
Tm (0.750, 0.750, 0.750)
Zn (0.250, 0.250, 0.250)

Computed properties:
Space-group type: No. 216
Formation energy: -0.5118 eV/atom

---

Record 18
A relaxed structure of TmZnIr. Source: OQMD via LeMat-Bulk, functional PBE.

Lattice parameters (Å, degrees): 4.539 4.539 4.539 60.00 60.00 60.00
Fractional positions:
Tm (0.000, 0.000, 0.000)
Ir (0.250, 0.250, 0.250)
Zn (0.750, 0.750, 0.750)

Computed properties:
Space-group type: No. 216
Formation energy: 0.0467 eV/atom

---

Record 19
A relaxed structure of TmZrZn2Ir4. Source: OQMD via LeMat-Bulk, functional PBE.

Lattice parameters (Å, degrees): 4.519 4.519 6.394 90.00 90.00 90.00
Fractional positions:
Ir (0.000, 0.500, 0.756)
Ir (0.500, 0.000, 0.756)
Ir (0.000, 0.500, 0.244)
Tm (0.000, 0.000, 0.500)
Ir (0.500, 0.000, 0.244)
Zr (0.500, 0.500, 0.000)
Zn (0.500, 0.500, 0.500)
Zn (0.000, 0.000, 0.000)

Computed properties:
Space-group type: No. 123
Formation energy: -0.5634 eV/atom

---

Record 20
A relaxed structure of TmZrIr. Source: OQMD via LeMat-Bulk, functional PBE.

Lattice parameters (Å, degrees): 6.804 4.510 8.666 90.00 90.00 90.00
Fractional positions:
Tm (0.854, 0.750, 0.083)
Zr (0.494, 0.750, 0.839)
Zr (0.506, 0.250, 0.161)
Ir (0.721, 0.250, 0.906)
Tm (0.146, 0.250, 0.917)
Tm (0.646, 0.250, 0.583)
Ir (0.221, 0.250, 0.594)
Tm (0.354, 0.750, 0.417)
Zr (0.994, 0.750, 0.661)
Zr (0.006, 0.250, 0.339)
Ir (0.779, 0.750, 0.406)
Ir (0.279, 0.750, 0.094)

Computed properties:
Space-group type: No. 62
Energy above the most stable polymorph in this dataset: 0.000 eV per atom
Formation energy: -0.6710 eV/atom

---

Record 21
A relaxed structure of UIr. Source: OQMD via LeMat-Bulk, functional PBE.

Lattice parameters (Å, degrees): 4.359 4.359 4.359 60.00 60.00 60.00
Last column: magnetic moment on the atom in μB.
Fractional positions:
U (0.250, 0.250, 0.250)  2.28
Ir (0.000, 0.000, 0.000)  -0.12

Computed properties:
Space-group type: No. 216
Formation energy: 0.5359 eV/atom

---

Record 22
A relaxed structure of UIr3. Source: OQMD via LeMat-Bulk, functional PBE.

Lattice parameters (Å, degrees): 4.050 4.050 4.050 90.00 90.00 90.00
Fractional positions:
Ir (0.500, 0.000, 0.500)
U (0.000, 0.000, 0.000)
Ir (0.500, 0.500, 0.000)
Ir (0.000, 0.500, 0.500)

Computed properties:
Space-group type: No. 221
Formation energy: -0.6378 eV/atom

---

Record 23
A relaxed structure of UIr. Source: OQMD via LeMat-Bulk, functional PBE.

Lattice parameters (Å, degrees): 2.889 2.889 5.022 90.00 90.00 120.00
Last column: magnetic moment on the atom in μB.
Fractional positions:
U (0.333, 0.667, 0.250)  1.78
Ir (0.667, 0.333, 0.750)  0.03

Computed properties:
Space-group type: No. 187
Formation energy: -0.0255 eV/atom

---

Record 24
A relaxed structure of UIr. Source: OQMD via LeMat-Bulk, functional PBE.

Lattice parameters (Å, degrees): 5.612 10.625 5.595 90.00 98.74 90.00
Last column: magnetic moment on the atom in μB.
Fractional positions:
U (0.393, 0.494, 0.342)  1.70
Ir (0.643, 0.257, 0.658)  -0.16
Ir (0.357, 0.757, 0.342)  -0.16
U (0.138, 0.998, 0.099)  1.58
U (0.605, 0.226, 0.156)  1.70
Ir (0.902, 0.760, 0.908)  -0.16
Ir (0.354, 0.463, 0.840)  -0.17
Ir (0.899, 0.460, 0.405)  -0.16
U (0.135, 0.222, 0.597)  1.59
U (0.395, 0.726, 0.844)  1.70
U (0.862, 0.498, 0.901)  1.59
Ir (0.101, 0.960, 0.595)  -0.16
Ir (0.098, 0.260, 0.092)  -0.16
U (0.865, 0.722, 0.403)  1.58
Ir (0.646, 0.963, 0.160)  -0.16
U (0.607, 0.994, 0.658)  1.70

Computed properties:
Space-group type: No. 4
Formation energy: -0.4861 eV/atom

---

Record 25
A relaxed structure of UIrW. Source: OQMD via LeMat-Bulk, functional PBE.

Lattice parameters (Å, degrees): 4.429 4.429 4.429 60.00 60.00 60.00
Last column: magnetic moment on the atom in μB.
Fractional positions:
Ir (0.000, 0.000, 0.000)  -0.02
U (0.500, 0.500, 0.500)  0.75
W (0.250, 0.250, 0.250)  0.06

Computed properties:
Space-group type: No. 216
Energy above the most stable polymorph in this dataset: 0.000 eV per atom
Formation energy: 0.5096 eV/atom

---

Record 26
A relaxed structure of UIrW. Source: OQMD via LeMat-Bulk, functional PBE.

Lattice parameters (Å, degrees): 4.472 4.472 4.472 60.00 60.00 60.00
Fractional positions:
U (0.000, 0.000, 0.000)
Ir (0.250, 0.250, 0.250)
W (0.750, 0.750, 0.750)

Computed properties:
Space-group type: No. 216
Energy above the most stable polymorph in this dataset: 0.248 eV per atom
Formation energy: 0.7573 eV/atom

---

Record 27
A relaxed structure of UZnIr. Source: OQMD via LeMat-Bulk, functional PBE.

Lattice parameters (Å, degrees): 4.514 4.514 4.514 60.00 60.00 60.00
Fractional positions:
Ir (0.000, 0.000, 0.000)
Zn (0.250, 0.250, 0.250)
U (0.750, 0.750, 0.750)

Computed properties:
Space-group type: No. 216
Formation energy: -0.1126 eV/atom

---

no.,calculated total energy (hartree per atom)
1,-0.185
2,-0.262
3,-0.228
4,-0.261
5,-0.193
6,-0.236
7,-0.279
8,-0.196
9,-0.246
10,-0.245
11,-0.191
12,-0.270
13,-0.279
14,-0.269
15,-0.237
16,-0.129
17,-0.198
18,-0.177
19,-0.255
20,-0.293
21,-0.351
22,-0.371
23,-0.371
24,-0.388
25,-0.387
26,-0.378
27,-0.266